[1]
First-principles (PBE) data for a relaxed Pm12SmRh7 crystal, as listed in Alexandria via LeMat-Bulk.

SG: R-3 (148)

abc: 8.9651 8.9651 8.9651
angles: 107.10 107.10 107.10
Fractional positions:
Pm  0.4616  0.1571  0.3815
Rh  0.6434  0.8778  0.9620
Rh  0.3566  0.1222  0.0380
Pm  0.1571  0.3815  0.4616
Pm  0.6185  0.5384  0.8429
Pm  0.9246  0.3066  0.7751
Pm  0.7751  0.9246  0.3066
Rh  0.5000  0.5000  0.5000
Rh  0.0380  0.3566  0.1222
Pm  0.5384  0.8429  0.6185
Pm  0.6934  0.2249  0.0754
Pm  0.0754  0.6934  0.2249
Pm  0.2249  0.0754  0.6934
Pm  0.3066  0.7751  0.9246
Sm  0.0000  0.0000  0.0000
Pm  0.3815  0.4616  0.1571
Rh  0.9620  0.6434  0.8778
Rh  0.1222  0.0380  0.3566
Rh  0.8778  0.9620  0.6434
Pm  0.8429  0.6185  0.5384

***

[2]
First-principles (PBE) data for a relaxed PmSmRh crystal, as listed in Alexandria via LeMat-Bulk.

SG: Cm (8)

abc: 3.8222 7.2140 6.9523
angles: 114.43 90.00 105.36
Fractional positions:
Pm  0.5114  0.0228  0.1561
Rh  0.6091  0.2181  0.8282
Sm  0.2429  0.4857  0.1533
Sm  0.9481  0.8961  0.6497
Rh  0.8495  0.6990  0.9764
Pm  0.2163  0.4325  0.6495

***

[3]
First-principles (PBE) data for a relaxed PmSmRh4 crystal, as listed in Alexandria via LeMat-Bulk.

SG: F-43m (216)

abc: 5.3937 5.3937 5.3937
angles: 60.00 60.00 60.00
Fractional positions:
Rh  0.6250  0.1251  0.6250
Rh  0.6250  0.6250  0.1251
Rh  0.6250  0.6250  0.6250
Sm  0.2500  0.2500  0.2500
Rh  0.1251  0.6250  0.6250
Pm  0.0000  0.0000  0.0000

***

[4]
First-principles (PBE) data for a relaxed Pm5SmRh2 crystal, as listed in Alexandria via LeMat-Bulk.

SG: Immm (71)

abc: 4.1204 9.1004 9.1004
angles: 48.04 76.92 76.92
Fractional positions:
Rh  0.8144  0.6856  0.6856
Rh  0.1856  0.3144  0.3144
Pm  0.6577  0.5964  0.0882
Sm  0.0000  0.0000  0.0000
Pm  0.0000  0.5000  0.5000
Pm  0.3423  0.9118  0.4036
Pm  0.6577  0.0882  0.5964
Pm  0.3423  0.4036  0.9118

***

[5]
First-principles (PBE) data for a relaxed Pm2SmRh9 crystal, as listed in Alexandria via LeMat-Bulk.

SG: R-3m (166)

abc: 5.3052 5.3052 9.3681
angles: 73.55 73.55 60.00
Fractional positions:
Rh  0.6672  0.6672  0.9984
Rh  0.5813  0.5813  0.7550
Pm  0.1388  0.1388  0.5835
Sm  0.0000  0.0000  0.0000
Rh  0.0823  0.5813  0.7550
Rh  0.3328  0.3328  0.0016
Rh  0.5813  0.0823  0.7550
Rh  0.4187  0.9177  0.2450
Rh  0.9177  0.4187  0.2450
Pm  0.8612  0.8612  0.4165
Rh  0.5000  0.5000  0.5000
Rh  0.4187  0.4187  0.2450

***

[6]
First-principles (PBE) data for a relaxed Pm2Sm3Rh2 crystal, as listed in Alexandria via LeMat-Bulk.

SG: C2/m (12)

abc: 3.8600 6.4676 9.1228
angles: 114.64 90.00 107.36
Fractional positions:
Sm  0.5000  0.0000  0.0000
Pm  0.1674  0.3348  0.8101
Sm  0.3843  0.7687  0.5711
Pm  0.8326  0.6652  0.1899
Rh  0.1771  0.3543  0.2430
Rh  0.8229  0.6457  0.7570
Sm  0.6157  0.2313  0.4289

***

Summary of size of the total moment in μB per atom
0.0000; 0.0000; 0.0000; 0.0002; 0.0000; 0.0000
(order as listed above)
Summary of VASP energy in eV per cell
-122.81; -36.80; -42.98; -45.77; -86.66; -41.84
(order as listed above)